No. 1
The following is a meta-GGA SCAN calculation of a crystal of La2SbBr relaxed with PBEsol, from Alexandria via LeMat-Bulk.

The value obtained for the formation energy from raw total energies is -1.46 eV/atom. As for the total magnetization: 0.00 μB per formula unit. The total energy is -37.20 eV per atom. The crystal system is tetragonal. The value obtained for the density of states at the Fermi level is 2.293 states/eV/f.u.

abc: 4.4287 4.4287 6.2508
angles: 90.00 90.00 90.00
Space group P4/mmm (No. 123)
One atom of each set of equivalent atoms:
La (0.0000, 0.0000, 0.0000) [1 per cell]
La (0.5000, 0.5000, 0.5000) [1 per cell]
Sb (0.0000, 0.0000, 0.5000) [1 per cell]
Br (0.5000, 0.5000, 0.0000) [1 per cell]

No. 2
The following is a meta-GGA SCAN calculation of a crystal of BeHgIrPb2 relaxed with PBEsol, from Alexandria via LeMat-Bulk.

The calculation puts the formation energy at 17.5 kJ per mole of atoms. As for the total magnetization: 0.00 μB per formula unit. The total energy is -58.85 eV per atom. The crystal system is tetragonal. The value obtained for the density of states at the Fermi level is 2.273 states/eV/f.u.

abc: 5.2257 5.2257 4.4051
angles: 90.00 90.00 90.00
Space group P4/mmm (No. 123)
One atom of each set of equivalent atoms:
Be (0.0000, 0.0000, 0.0000) [1 per cell]
Hg (0.5000, 0.5000, 0.0000) [1 per cell]
Ir (0.0000, 0.0000, 0.5000) [1 per cell]
Pb (0.0000, 0.5000, 0.5000) [2 per cell]